VASP calculation (PBE) on a geometry-optimized Zr2AgTe structure.

Geometry as CIF:
```
data_Zr2AgTe
_chemical_formula_sum 'Zr4 Ag2 Te2'
_symmetry_space_group_name_H-M 'C 1 m 1'
_symmetry_Int_Tables_number 8
_cell_length_a 10.641
_cell_length_b 3.502
_cell_length_c 4.982
_cell_angle_alpha 90.00
_cell_angle_beta 107.98
_cell_angle_gamma 90.00
loop_
_symmetry_equiv_pos_as_xyz
'x,y,z'
'x,-y,z'
'x+1/2,y+1/2,z'
'x+1/2,-y+1/2,z'
loop_
_atom_site_label
_atom_site_fract_x
_atom_site_fract_y
_atom_site_fract_z
_atom_site_occupancy
Zr1 0.000 0.000 0.000 1
Zr2 0.244 0.000 0.623 1
Ag1 0.244 0.500 0.126 1
Te1 0.006 0.500 0.508 1
```

Calculated values
E above lowest polymorph, meV/atom: 46
ΔE_f (raw), meV/atom: -263
Total moment, μB/cell: 0.0